[1]
The following is a DFT calculation (PBE) of LiCdCo after structural relaxation.

Cell lengths 6.409, 6.409, 6.409 Å; angles 155.06, 155.06, 35.56 degrees
Each line ends with the local moment (μB).
Atoms (fractional coordinates):
Cd (0.993, 0.993, 0.000)  -0.02
Li (0.679, 0.679, 0.000)  -0.03
Co (0.328, 0.328, 0.000)  1.60

Summary:
The calculation puts the energy of formation from the pure elements at 0.238 eV per atom. As for the total energy: -9.2 eV per cell.

=====

[2]
The following is a DFT calculation (PBE) of PmTm2Sn after structural relaxation.

Cell lengths 4.791, 4.822, 4.822 Å; angles 90.00, 90.00, 90.00 degrees
Atoms (fractional coordinates):
Tm (0.000, 0.500, 0.000)
Tm (0.000, 0.000, 0.500)
Pm (0.500, 0.500, 0.500)
Sn (0.500, 0.000, 0.000)

Summary:
The calculation puts the energy of formation from the pure elements at -0.406 eV per atom. As for the total energy: -19.3 eV per cell.

=====

[3]
The following is a DFT calculation (PBE) of Ho3PbCS after structural relaxation.

Cell lengths 3.697, 7.479, 11.253 Å; angles 112.18, 90.00, 90.00 degrees
Atoms (fractional coordinates):
Pb (0.250, 0.311, 0.292)
Pb (0.750, 0.689, 0.708)
Ho (0.250, 0.760, 0.493)
Ho (0.750, 0.923, 0.131)
Ho (0.750, 0.240, 0.507)
Ho (0.250, 0.495, 0.870)
Ho (0.250, 0.077, 0.869)
Ho (0.750, 0.505, 0.130)
S (0.250, 0.143, 0.641)
S (0.750, 0.857, 0.359)
C (0.750, 0.293, 0.916)
C (0.250, 0.707, 0.084)

Summary:
For the energy relative to the elements, uncorrected, the calculation gives -0.78 eV/atom. As for the total energy: -70.9 eV per cell.

=====

[4]
The following is a DFT calculation (PBE) of PtPb2O6 after structural relaxation.

Cell lengths 5.709, 5.043, 9.124 Å; angles 90.00, 90.00, 90.00 degrees
Atoms (fractional coordinates):
Pb (0.500, 0.000, 0.310)
Pb (0.000, 0.500, 0.190)
Pb (0.500, 0.000, 0.690)
Pb (0.000, 0.500, 0.810)
O (0.804, 0.698, 0.000)
O (0.660, 0.281, 0.155)
O (0.196, 0.302, 0.000)
O (0.696, 0.198, 0.500)
O (0.160, 0.219, 0.655)
O (0.340, 0.719, 0.155)
O (0.840, 0.781, 0.655)
O (0.304, 0.802, 0.500)
O (0.840, 0.781, 0.345)
O (0.160, 0.219, 0.345)
O (0.340, 0.719, 0.845)
O (0.660, 0.281, 0.845)
Pt (0.500, 0.500, 0.000)
Pt (0.000, 0.000, 0.500)

Summary:
For the energy relative to the elements, uncorrected, the calculation gives -0.76 eV/atom. As for the total energy: -100.1 eV per cell.

=====

[5]
The following is a DFT calculation (PBE) of KIn2Tc after structural relaxation.

Cell lengths 6.192, 6.192, 9.562 Å; angles 71.11, 71.11, 90.00 degrees
Each line ends with the local moment (μB).
Atoms (fractional coordinates):
In (0.883, 0.625, 0.250)  -0.05
In (0.875, 0.117, 0.750)  -0.04
In (0.867, 0.125, 0.250)  -0.05
In (0.375, 0.133, 0.750)  -0.06
Tc (0.000, 0.000, 0.000)  1.33
Tc (0.750, 0.250, 0.500)  1.33
K (0.250, 0.750, 0.500)  0.00
K (0.500, 0.500, 0.000)  0.00

Summary:
The calculation puts the energy of formation from the pure elements at 0.680 eV per atom. As for the total energy: -28.4 eV per cell.

=====

[6]
The following is a DFT calculation (PBE) of BeCd2B after structural relaxation.

Cell lengths 8.909, 8.909, 6.568 Å; angles 47.30, 47.30, 90.00 degrees
Atoms (fractional coordinates):
Cd (0.375, 0.125, 0.750)
Cd (0.875, 0.125, 0.750)
Cd (0.875, 0.625, 0.250)
Cd (0.875, 0.125, 0.250)
Be (0.250, 0.750, 0.500)
Be (0.500, 0.500, 0.000)
B (0.000, 0.000, 0.000)
B (0.750, 0.250, 0.500)

Summary:
The calculation puts the energy of formation from the pure elements at 0.444 eV per atom. As for the total energy: -20.9 eV per cell.

=====

How do the records compare in total moment? In the order shown, they have 1.47; 0.00; 0.00; 0.00; 2.77; 0.00 μB/cell.